Entry 1:
A plane-wave DFT calculation with PBE was carried out for crystalline SiPtCl2 at its relaxed geometry.

Summary:
**Total moment**: 0.45 μB per formula unit
**Electronic total energy**: -16.0 eV/f.u.
**Relative energy among the computed polymorphs**: 31.9 kJ/mol of atoms
**Space group**: C2/m (12)
**Formation energy (no corrections)**: -0.213 eV/atom

Lattice parameters (Å, degrees): 8.857 8.857 3.271 59.83 59.83 24.53
Site moments in Bohr magnetons follow the coordinates.
Fractional coordinates of all 4 atoms:
Cl: 0.103 0.103 0.650  0.07
Cl: 0.397 0.397 0.850  0.07
Pt: 0.750 0.750 0.750  0.23
Si: 0.250 0.250 0.250  0.00


Entry 2:
A plane-wave DFT calculation with PBE was carried out for crystalline SiPt2Cl at its relaxed geometry.

Summary:
**Total moment**: 0.00 μB per formula unit
**Electronic total energy**: -18.5 eV/f.u.
**Relative energy among the computed polymorphs**: 50.3 kJ/mol of atoms
**Space group**: Pmmm (47)
**Formation energy (no corrections)**: 0.203 eV/atom

Lattice parameters (Å, degrees): 2.834 5.993 4.104 90.00 90.00 90.00
Fractional coordinates of all 4 atoms:
Cl: 0.000 0.500 0.500
Pt: 0.000 0.000 0.000
Pt: 0.500 0.500 0.000
Si: 0.500 0.000 0.500


Entry 3:
A plane-wave DFT calculation with PBE was carried out for crystalline SiPtCl2 at its relaxed geometry.

Summary:
**Total moment**: 0.00 μB per formula unit
**Electronic total energy**: -14.3 eV/f.u.
**Relative energy among the computed polymorphs**: 72.1 kJ/mol of atoms
**Space group**: R-3m (166)
**Formation energy (no corrections)**: 0.203 eV/atom

Lattice parameters (Å, degrees): 8.862 8.862 8.862 20.45 20.45 20.45
Fractional coordinates of all 4 atoms:
Si: 0.500 0.500 0.500
Pt: 0.000 0.000 0.000
Cl: 0.911 0.911 0.911
Cl: 0.089 0.089 0.089


Entry 4:
A plane-wave DFT calculation with PBE was carried out for crystalline SiPt2Cl at its relaxed geometry.

Summary:
**Total moment**: 0.00 μB per formula unit
**Electronic total energy**: -18.4 eV/f.u.
**Relative energy among the computed polymorphs**: 54.3 kJ/mol of atoms
**Space group**: Fm-3m (225)
**Formation energy (no corrections)**: 0.245 eV/atom

Lattice parameters (Å, degrees): 4.467 4.467 4.467 60.00 60.00 60.00
Fractional coordinates of all 4 atoms:
Si: 0.000 0.000 0.000
Pt: 0.250 0.250 0.250
Pt: 0.750 0.750 0.750
Cl: 0.500 0.500 0.500


Entry 5:
A plane-wave DFT calculation with PBE was carried out for crystalline SiPt2Cl at its relaxed geometry.

Summary:
**Total moment**: 0.00 μB per formula unit
**Electronic total energy**: -19.2 eV/f.u.
**Relative energy among the computed polymorphs**: 33.6 kJ/mol of atoms
**Space group**: Pmm2 (25)
**Formation energy (no corrections)**: 0.030 eV/atom

Lattice parameters (Å, degrees): 3.281 3.384 6.877 90.00 90.00 90.00
Fractional coordinates of all 4 atoms:
Cl: 0.500 0.500 0.805
Pt: 0.000 0.000 0.036
Pt: 0.500 0.500 0.285
Si: 0.000 0.000 0.374


Entry 6:
A plane-wave DFT calculation with PBE was carried out for crystalline SiPtCl2 at its relaxed geometry.

Summary:
**Total moment**: 0.00 μB per formula unit
**Electronic total energy**: -13.9 eV/f.u.
**Relative energy among the computed polymorphs**: 82.8 kJ/mol of atoms
**Space group**: P2/m (10)
**Formation energy (no corrections)**: 0.314 eV/atom

Lattice parameters (Å, degrees): 3.057 5.536 7.002 37.64 90.00 90.00
Fractional coordinates of all 4 atoms:
Cl: 0.000 0.000 0.000
Cl: 0.500 0.500 0.000
Pt: 0.500 0.500 0.500
Si: 0.000 0.000 0.500


Entry 7:
A plane-wave DFT calculation with PBE was carried out for crystalline SiPtCl2 at its relaxed geometry.

Summary:
**Total moment**: 0.00 μB per formula unit
**Electronic total energy**: -13.2 eV/f.u.
**Relative energy among the computed polymorphs**: 99.4 kJ/mol of atoms
**Space group**: R-3m (166)
**Formation energy (no corrections)**: 0.487 eV/atom

Lattice parameters (Å, degrees): 8.679 8.679 8.679 20.79 20.79 20.79
Fractional coordinates of all 4 atoms:
Cl: 0.992 0.992 0.992
Cl: 0.508 0.508 0.508
Pt: 0.750 0.750 0.750
Si: 0.250 0.250 0.250


Entry 8:
A plane-wave DFT calculation with PBE was carried out for crystalline SiPt2Cl at its relaxed geometry.

Summary:
**Total moment**: 0.00 μB per formula unit
**Electronic total energy**: -19.7 eV/f.u.
**Relative energy among the computed polymorphs**: 21.3 kJ/mol of atoms
**Space group**: Imm2 (44)
**Formation energy (no corrections)**: -0.097 eV/atom

Lattice parameters (Å, degrees): 7.349 7.349 7.349 157.47 148.77 38.86
Fractional coordinates of all 4 atoms:
Cl: 0.278 0.778 0.500
Pt: 0.024 0.024 0.000
Pt: 0.670 0.170 0.500
Si: 0.529 0.529 0.000